# 1
VASP calculation (PBE) on Cr3AgTe after structural relaxation.

POSCAR file:
```
Cr3AgTe
1.0
5.152 0.000 0.000
0.000 5.152 0.000
0.000 0.000 5.152
Cr Te Ag
3 1 1
Cartesian
0.000 2.576 0.000
0.000 0.000 2.576
2.576 0.000 0.000
0.000 0.000 0.000
2.576 2.576 2.576
```

Properties
**Total magnetic moment**: 13.18 μB per cell
**E_form (uncorrected)**: 5.96 eV per formula unit
**D(E_F)**: 0.524 states/eV/atom
**Electronic total energy**: -28.90 eV/cell
**Energy above the lowest structure with this stoichiometry**: 0.0 meV per atom

---

# 2
VASP calculation (PBE) on Cr2AgTe after structural relaxation.

POSCAR file:
```
Cr2AgTe
1.0
-6.146 -4.272 0.295
3.017 0.881 3.384
-2.766 0.973 2.214
Ag Cr Te
1 2 1
Cartesian
-1.564 -1.696 1.839
0.000 0.000 0.000
-4.456 -1.650 1.254
0.125 0.927 2.799
```

Properties
**Total magnetic moment**: 8.55 μB per cell
**E_form (uncorrected)**: 1.73 eV per formula unit
**D(E_F)**: 0.520 states/eV/atom
**Electronic total energy**: -23.51 eV/cell

---

# 3
VASP calculation (PBE) on Cr2AgTe2 after structural relaxation.

POSCAR file:
```
Cr2AgTe2
1.0
-3.409 -0.940 -0.198
0.823 -3.233 1.189
-2.449 0.470 8.246
Cr Te Ag
2 2 1
Cartesian
-3.575 -1.278 4.272
-1.460 -2.425 4.965
-1.593 -1.422 2.509
-3.441 -2.281 6.728
0.000 0.000 0.000
```

Properties
**Total magnetic moment**: 0.00 μB per cell
**E_form (uncorrected)**: 1.25 eV per formula unit
**D(E_F)**: 0.727 states/eV/atom
**Electronic total energy**: -27.13 eV/cell
**Energy above the lowest structure with this stoichiometry**: 0.0 meV per atom

---

The lowest E_form (uncorrected) belongs to which entry?
Cr2AgTe2